No. 1
Density functional theory data (GGA-PBEsol) for an optimized crystal structure of YBe2Tc.

Structure (POSCAR):
```
YBe2Tc
1.0
-1.628 2.217 3.954
1.628 -2.217 3.954
1.628 2.217 -3.954
Y Be Tc
1 2 1
Direct
0.000 0.000 0.000
0.283 0.783 0.500
0.473 0.473 0.000
0.711 0.211 0.500
```

Properties
E above lowest polymorph: 62 kJ/mol of formula units
E: -24.94 eV/cell
Magnetization: 0.0 μB per formula unit
Fermi-level density of states: 0.7567 states/eV per atom
Symmetry: Imm2 (44)

***

No. 2
Density functional theory data (GGA-PBEsol) for an optimized crystal structure of Te2RhW.

Structure (POSCAR):
```
Te2RhW
1.0
1.696 -2.636 0.000
1.696 2.636 0.000
0.000 0.000 8.567
Te Rh W
2 1 1
Direct
0.000 0.000 0.245
0.000 0.000 0.755
0.500 0.500 0.000
0.500 0.500 0.500
```

Properties
E above lowest polymorph: 177 kJ/mol of formula units
E: -25.96 eV/cell
Magnetization: 0.0 μB per formula unit
Fermi-level density of states: 1.1023 states/eV per atom
Symmetry: Cmmm (65)

***

No. 3
Density functional theory data (GGA-PBEsol) for an optimized crystal structure of SiHgOF2.

Structure (POSCAR):
```
SiHgOF2
1.0
4.430 0.000 0.000
0.000 4.430 0.000
0.000 0.000 4.166
Si Hg O F
1 1 1 2
Direct
0.000 0.000 0.000
0.500 0.500 0.500
0.500 0.500 0.000
0.000 0.500 0.500
0.500 0.000 0.500
```

Properties
E above lowest polymorph: 575 kJ/mol of formula units
E: -16.71 eV/cell
Magnetization: 0.0 μB per formula unit
Fermi-level density of states: 0.3604 states/eV per atom
Symmetry: P4/mmm (123)

***

No. 4
Density functional theory data (GGA-PBEsol) for an optimized crystal structure of LaBiNO2.

Structure (POSCAR):
```
LaBiNO2
1.0
4.453 0.000 0.000
0.000 4.453 0.000
0.000 0.000 4.423
La Bi N O
1 1 1 2
Direct
0.000 0.000 0.000
0.500 0.500 0.500
0.000 0.000 0.500
0.000 0.500 0.000
0.500 0.000 0.000
```

Properties
E: -31.58 eV/cell
Magnetization: 0.2 μB per formula unit
Fermi-level density of states: 0.4454 states/eV per atom
Symmetry: P4/mmm (123)

***

No. 5
Density functional theory data (GGA-PBEsol) for an optimized crystal structure of Hf2AgPd2.

Structure (POSCAR):
```
Hf2AgPd2
1.0
7.383 0.000 0.000
0.000 7.383 0.000
0.000 0.000 3.272
Hf Ag Pd
4 2 4
Direct
0.171 0.329 0.000
0.329 0.829 0.000
0.671 0.171 0.000
0.829 0.671 0.000
0.000 0.000 0.500
0.500 0.500 0.500
0.130 0.630 0.500
0.370 0.130 0.500
0.630 0.870 0.500
0.870 0.370 0.500
```

Properties
E: -77.69 eV/cell
Magnetization: 0.0 μB per formula unit
Fermi-level density of states: 0.6533 states/eV per atom
Symmetry: P4/mbm (127)

***

No. 6
Density functional theory data (GGA-PBEsol) for an optimized crystal structure of SrY3S.

Structure (POSCAR):
```
SrY3S
1.0
5.463 0.000 0.000
0.000 5.463 0.000
0.000 0.000 5.463
Sr Y S
1 3 1
Direct
0.000 0.000 0.000
0.000 0.000 0.500
0.000 0.500 0.000
0.500 0.000 0.000
0.500 0.500 0.500
```

Properties
E: -20.61 eV/cell
Magnetization: 0.0 μB per formula unit
Fermi-level density of states: 0.9633 states/eV per atom
Symmetry: Pm-3m (221)

***

No. 7
Density functional theory data (GGA-PBEsol) for an optimized crystal structure of Fe5Ir.

Structure (POSCAR):
```
Fe5Ir
1.0
3.953 0.000 0.000
0.000 1.257 6.482
0.000 -1.257 6.482
Fe Ir
5 1
Direct
0.000 0.000 0.000
0.000 0.323 0.323
0.000 0.662 0.662
0.500 0.109 0.109
0.500 0.767 0.767
0.500 0.438 0.438
```

Properties
E above lowest polymorph: 17 kJ/mol of formula units
E: -54.65 eV/cell
Magnetization: 0.0 μB per formula unit
Fermi-level density of states: 1.1384 states/eV per atom
Symmetry: Amm2 (38)

***

No. 8
Density functional theory data (GGA-PBEsol) for an optimized crystal structure of KZn2Cu.

Structure (POSCAR):
```
KZn2Cu
1.0
-2.181 2.854 3.625
2.181 -2.854 3.625
2.181 2.854 -3.625
K Zn Cu
1 2 1
Direct
0.000 0.000 0.000
0.477 0.477 0.000
0.674 0.174 0.500
0.332 0.832 0.500
```

Properties
E: -6.99 eV/cell
Magnetization: 0.0 μB per formula unit
Fermi-level density of states: 0.3755 states/eV per atom
Symmetry: Imm2 (44)

***

No. 9
Density functional theory data (GGA-PBEsol) for an optimized crystal structure of LiPRh.

Structure (POSCAR):
```
LiPRh
1.0
0.000 2.660 2.660
2.660 0.000 2.660
2.660 2.660 0.000
Li P Rh
1 1 1
Direct
0.000 0.000 0.000
0.250 0.250 0.250
0.750 0.750 0.750
```

Properties
E: -15.96 eV/cell
Magnetization: 0.0 μB per formula unit
Fermi-level density of states: 0.5431 states/eV per atom
Symmetry: F-43m (216)

***

No. 10
Density functional theory data (GGA-PBEsol) for an optimized crystal structure of LaAsSe2.

Structure (POSCAR):
```
LaAsSe2
1.0
-2.071 2.071 5.226
2.071 -2.071 5.226
2.071 2.071 -5.226
La As Se
1 1 2
Direct
0.000 0.000 0.000
0.250 0.750 0.500
0.500 0.500 0.000
0.750 0.250 0.500
```

Properties
E: -22.24 eV/cell
Magnetization: 0.0 μB per formula unit
Fermi-level density of states: 0.4426 states/eV per atom
Symmetry: I-4m2 (119)

***

No. 11
Density functional theory data (GGA-PBEsol) for an optimized crystal structure of LiIn2Au.

Structure (POSCAR):
```
LiIn2Au
1.0
3.620 0.000 0.000
0.000 3.620 0.000
0.000 0.000 5.975
Li In Au
1 2 1
Direct
0.000 0.000 0.000
0.000 0.000 0.459
0.500 0.500 0.756
0.500 0.500 0.222
```

Properties
E: -12.94 eV/cell
Magnetization: 0.0 μB per formula unit
Fermi-level density of states: 0.3157 states/eV per atom
Symmetry: P4mm (99)

***

No. 12
Density functional theory data (GGA-PBEsol) for an optimized crystal structure of CsLa2ZnCl.

Structure (POSCAR):
```
CsLa2ZnCl
1.0
5.858 0.000 0.000
0.000 5.858 0.000
0.000 0.000 5.333
Cs La Zn Cl
1 2 1 1
Direct
0.000 0.000 0.000
0.000 0.500 0.000
0.500 0.000 0.000
0.000 0.000 0.500
0.500 0.500 0.500
```

Properties
E: -11.16 eV/cell
Magnetization: 0.0 μB per formula unit
Fermi-level density of states: 0.8609 states/eV per atom
Symmetry: P4/mmm (123)

***

No. 13
Density functional theory data (GGA-PBEsol) for an optimized crystal structure of LiInSb2Te.

Structure (POSCAR):
```
LiInSb2Te
1.0
5.543 0.000 0.000
0.000 5.543 0.000
0.000 0.000 5.783
Li In Sb Te
1 1 2 1
Direct
0.000 0.000 0.000
0.500 0.500 0.500
0.000 0.500 0.500
0.500 0.000 0.500
0.500 0.500 0.000
```

Properties
E: -15.23 eV/cell
Magnetization: 0.0 μB per formula unit
Fermi-level density of states: 1.1695 states/eV per atom
Symmetry: P4/mmm (123)

***

No. 14
Density functional theory data (GGA-PBEsol) for an optimized crystal structure of ZrAlAu.

Structure (POSCAR):
```
ZrAlAu
1.0
-1.534 1.534 5.610
1.534 -1.534 5.610
1.534 1.534 -5.610
Zr Al Au
1 1 1
Direct
0.000 0.000 0.000
0.327 0.327 0.000
0.685 0.685 0.000
```

Properties
E: -18.78 eV/cell
Magnetization: 0.0 μB per formula unit
Fermi-level density of states: 0.5572 states/eV per atom
Symmetry: I4mm (107)